GGA+U K2VZnF6, optimized geometry; ρ = 3.53 g/cm³; DFT total energy = -4.8791 eV per atom; crystal system = monoclinic; V = 145.2 Å³/f.u.
1.0
5.906 0.000 -0.017
0.000 5.894 0.000
0.020 0.000 8.342
F K V Zn
12 4 2 2
Direct
0.744 0.262 0.989
0.979 0.501 0.247
0.479 0.999 0.747
0.263 0.744 0.489
0.521 0.001 0.253
0.244 0.238 0.489
0.756 0.762 0.511
0.021 0.499 0.753
0.256 0.738 0.011
0.237 0.244 0.011
0.763 0.756 0.989
0.737 0.256 0.511
0.500 0.497 0.250
0.000 0.997 0.250
0.500 0.503 0.750
0.000 0.003 0.750
0.500 0.000 0.000
0.000 0.500 0.500
0.500 0.000 0.500
0.000 0.500 0.000